First-principles (PBE-GGA) data for a geometry-optimized BeCoRh structure, as listed in the Alexandria database.

POSCAR file:
```
BeCoRh
1.0
3.8564 0.0000 0.0000
-1.9282 3.3397 0.0000
0.0000 0.0000 2.6247
Co Be Rh
1 1 1
Direct
0.3333 0.6667 0.1600
0.0000 0.0000 0.1762
0.6667 0.3333 0.6640
```

Calculated values
As for the formation energy from the elements: -120 meV/atom.

***

First-principles (PBE-GGA) data for a geometry-optimized PmSmTmCu structure, as listed in the Alexandria database.

POSCAR file:
```
PmSmTmCu
1.0
-2.4092 2.5351 0.4896
-1.1865 -0.4922 -3.2895
-5.6520 -5.9366 2.9270
Pm Sm Tm Cu
1 1 1 1
Direct
0.0000 0.0000 0.0797
0.5000 0.5000 0.7684
0.5000 0.5000 0.3802
0.0000 0.0000 0.5563
```

Calculated values
As for the formation energy from the elements: -94 meV/atom.

***

First-principles (PBE-GGA) data for a geometry-optimized Li2Ce3HoSe6 structure, as listed in the Alexandria database.

POSCAR file:
```
Li2Ce3HoSe6
1.0
7.1473 -0.0024 0.0015
-3.5740 6.1896 0.0015
-1.1906 -2.0615 6.7174
Se Ce Li Ho
6 3 2 1
Direct
0.2568 0.2568 0.7654
0.4129 0.0777 0.2329
0.0777 0.4129 0.2329
0.9223 0.5871 0.7671
0.5871 0.9223 0.7671
0.7432 0.7432 0.2346
0.1678 0.8322 0.5000
0.8322 0.1678 0.5000
0.5000 0.5000 0.5000
0.3335 0.6665 0.0000
0.6665 0.3335 0.0000
0.0000 0.0000 0.0000
```

Calculated values
The formation energy from raw total energies comes out at -1.6753 eV per atom.

***

The evaluated D(E_F) for the records listed, in turn: 1.6, 3.9, 20.1 states/eV/f.u..
The evaluated theoretical density for the records listed, in turn: 8.39, 8.07, 6.00 g/cm³.